Entry 1:
12
Lattice="3.8978 0.0000 0.0000 0.0000 5.7897 0.0000 0.0000 0.0000 18.4809" Properties=species:S:1:pos:R:3 comment="LaNdTe, optimized geometry, DFT GGA-PBE" relative_energy_mev_per_atom=167 m_tot_mub_per_cell=0.00 pbc="T T T"
La 0.0000 0.0000 3.1373
La 0.0000 0.0000 15.3437
La 1.9489 2.8948 6.1032
La 1.9489 2.8948 12.3778
Nd 0.0000 1.4456 9.2405
Nd 0.0000 4.3441 9.2405
Nd 1.9489 1.4493 0.0000
Nd 1.9489 4.3404 0.0000
Te 0.0000 0.0000 6.3050
Te 0.0000 0.0000 12.1759
Te 1.9489 2.8948 2.9355
Te 1.9489 2.8948 15.5455

---

Entry 2:
10
Lattice="-5.1005 5.1005 3.2330 5.1005 -5.1005 3.2330 5.1005 5.1005 -3.2330" Properties=species:S:1:pos:R:3 comment="La4NdTe5, optimized geometry, DFT GGA-PBE" relative_energy_mev_per_atom=0 m_tot_mub_per_cell=0.00 pbc="T T T"
La 7.1361 1.0156 0.0000
La 1.0156 3.0648 0.0000
La 4.0849 2.0356 3.2330
La -2.0356 4.0849 3.2330
Nd 0.0000 0.0000 3.2330
Te 0.0000 0.0000 0.0000
Te 4.0827 2.0650 0.0000
Te 3.0354 -1.0178 3.2330
Te 2.0650 6.1183 0.0000
Te 1.0178 3.0354 3.2330

---

Entry 3:
16
Lattice="7.8138 0.0000 0.0000 0.0000 7.8138 0.0000 0.0000 0.0000 7.8138" Properties=species:S:1:pos:R:3 comment="LaNdTe2, optimized geometry, DFT GGA-PBE" relative_energy_mev_per_atom=117 m_tot_mub_per_cell=1.33 pbc="T T T"
La 0.0000 0.0000 0.0000
La 0.0000 3.9069 3.9069
La 3.9069 0.0000 3.9069
La 3.9069 3.9069 0.0000
Nd 0.0000 0.0000 3.9069
Nd 0.0000 3.9069 0.0000
Nd 3.9069 0.0000 0.0000
Nd 3.9069 3.9069 3.9069
Te 1.9534 1.9534 1.9534
Te 1.9534 1.9534 5.8603
Te 1.9534 5.8603 1.9534
Te 1.9534 5.8603 5.8603
Te 5.8603 1.9534 1.9534
Te 5.8603 1.9534 5.8603
Te 5.8603 5.8603 1.9534
Te 5.8603 5.8603 5.8603

---

Entry 4:
15
Lattice="6.3957 -6.3977 0.0000 6.3957 6.3977 0.0000 -6.3559 0.0000 6.3985" Properties=species:S:1:pos:R:3 comment="La3Nd4Te8, optimized geometry, DFT GGA-PBE" dft_energy_ev_per_fu=-81.85 m_tot_mub_per_cell=0.00 pbc="T T T"
La 0.0000 0.0000 0.0000
La 3.1979 3.1988 0.0000
La 3.1979 -3.1988 0.0000
Nd 0.0199 3.1988 3.1992
Nd 0.0199 -3.1988 3.1992
Nd 6.3957 0.0000 0.0000
Nd 3.2178 0.0000 3.1992
Te 3.2178 3.2436 3.1992
Te -0.0288 0.0000 3.2187
Te -3.1372 0.0000 6.3579
Te 6.3957 3.1797 0.0000
Te 6.3957 -3.1797 0.0000
Te 9.5728 0.0000 0.0406
Te 6.4644 0.0000 3.1798
Te 3.2178 -3.2436 3.1992

---

Entry 5:
12
Lattice="4.0086 0.0000 0.0000 -2.0043 3.4715 0.0000 0.0000 0.0000 30.6369" Properties=species:S:1:pos:R:3 comment="LaNd2Te, optimized geometry, DFT GGA-PBE" relative_energy_mev_per_atom=130 m_tot_mub_per_cell=0.00 pbc="T T T"
La 0.0000 0.0000 0.0000
La 0.0000 2.3143 20.4246
La 2.0043 1.1572 10.2123
Nd 0.0000 0.0000 7.2556
Nd 0.0000 0.0000 23.3813
Nd 0.0000 2.3143 13.1690
Nd 0.0000 2.3143 27.6801
Nd 2.0043 1.1572 2.9567
Nd 2.0043 1.1572 17.4679
Te 0.0000 0.0000 15.3184
Te 0.0000 2.3143 5.1062
Te 2.0043 1.1572 25.5307

---

Entry 6:
4
Lattice="4.9840 0.0000 0.0000 0.0000 4.9840 0.0000 0.0000 0.0000 4.8552" Properties=species:S:1:pos:R:3 comment="LaNd2Te, optimized geometry, DFT GGA-PBE" relative_energy_mev_per_atom=130 m_tot_mub_per_cell=0.00 pbc="T T T"
La 0.0000 0.0000 0.0000
Nd 0.0000 2.4920 2.4276
Nd 2.4920 0.0000 2.4276
Te 2.4920 2.4920 0.0000